# 1
15
Lattice="5.6092 -5.6124 0.0000 5.6092 5.6124 0.0000 -5.5665 0.0000 5.6160" Properties=species:S:1:pos:R:3 comment="Nd3Ho4S8 | the Alexandria database | GGA-PBE | relaxed" formation_energy_uncorrected_ev_per_atom=-2.03 n_ef_per_ev_fu=6.64 e_tot_ev_per_atom=-6.41 pbc="T T T"
Nd 0.0000 0.0000 0.0000
Nd 2.8046 2.8062 0.0000
Nd 2.8046 -2.8062 0.0000
Ho 0.0214 2.8062 2.8080
Ho 0.0214 -2.8062 2.8080
Ho 5.6092 0.0000 0.0000
Ho 2.8260 0.0000 2.8080
S 2.8260 2.7640 2.8080
S 5.6092 2.7442 0.0000
S 0.0560 0.0000 2.8677
S 2.8675 0.0000 0.0511
S 2.7844 0.0000 5.5649
S 5.5959 0.0000 2.7483
S 5.6092 -2.7442 0.0000
S 2.8260 -2.7640 2.8080

# 2
5
Lattice="4.5497 0.0000 0.0000 0.0000 4.5497 0.0000 0.0000 0.0000 4.5497" Properties=species:S:1:pos:R:3 comment="Ni3IrS | the Alexandria database | GGA-PBE | relaxed" formation_energy_uncorrected_ev_per_atom=1.37 relative_energy_ev_per_atom=0.975 n_ef_per_ev_fu=8.29 e_tot_ev_per_atom=-4.70 pbc="T T T"
Ni 0.0000 0.0000 2.2748
Ni 0.0000 2.2748 0.0000
Ni 2.2748 0.0000 0.0000
Ir 0.0000 0.0000 0.0000
S 2.2748 2.2748 2.2748

# 3
4
Lattice="1.6945 0.9783 10.2355 -1.6945 0.9783 10.2355 0.0000 -1.9566 10.2355" Properties=species:S:1:pos:R:3 comment="YTe2F | the Alexandria database | GGA-PBE | relaxed" formation_energy_uncorrected_ev_per_atom=-0.31 relative_energy_ev_per_atom=0.887 n_ef_per_ev_fu=3.36 e_tot_ev_per_atom=-3.96 pbc="T T T"
Y 0.0000 0.0000 0.0000
Te 0.0000 0.0000 3.0565
Te 0.0000 0.0000 27.6499
F 0.0000 0.0000 15.3532

# 4
12
Lattice="2.3619 -7.0544 0.0000 2.3619 7.0544 0.0000 0.0000 0.0000 6.6841" Properties=species:S:1:pos:R:3 comment="Zr6Zn5Tc | the Alexandria database | GGA-PBE | relaxed" e_form_ev_per_atom=-0.3085 n_ef_per_ev_fu=5.98 e_tot_ev_per_atom=-5.98 pbc="T T T"
Zr 0.0000 0.0000 1.6550
Zr 0.0000 0.0000 5.0291
Zr 2.3619 2.3135 1.6498
Zr 2.3619 2.3135 5.0342
Zr 2.3619 -2.3135 1.6498
Zr 2.3619 -2.3135 5.0342
Zn 2.3619 4.7073 0.0000
Zn 2.3619 4.6596 3.3420
Zn 2.3619 0.0000 3.3420
Zn 2.3619 -4.6596 3.3420
Zn 2.3619 -4.7073 0.0000
Tc 2.3619 0.0000 0.0000

# 5
4
Lattice="-1.6361 2.5369 7.8030 1.6361 -2.5369 7.8030 1.6361 2.5369 -7.8030" Properties=species:S:1:pos:R:3 comment="Ca2YW | the Alexandria database | GGA-PBE | relaxed" e_form_ev_per_atom=0.7130 relative_energy_ev_per_atom=0.116 n_ef_per_ev_fu=5.76 e_tot_ev_per_atom=-5.14 pbc="T T T"
Ca 0.0000 0.0000 2.6224
Ca 0.0000 0.0000 12.9837
Y 0.0000 2.5369 0.0000
W 1.6361 0.0000 0.0000

Looking at V for the records above, in order, we have 23.573, 18.835, 25.451, 18.561, 32.387 Å³ per atom.
Looking at theoretical density for the records above, in order, we have 6.33, 7.06, 5.92, 7.25, 4.52 g cm⁻³.